Compound: PmPaPtN3
Source: Alexandria
Functional: PBE-GGA
Structure: optimized geometry

Values from the calculation:
symmetry = P2_1/m, No. 11
energy relative to the elements, uncorrected = -0.98 eV per atom
final energy = -8.527 eV per atom

Unit cell a=3.4800 b=6.7737 c=9.3015 alpha=119.87 beta=90.00 gamma=90.00
Closest atoms and distances in Å follow each position.
Positions (direct):
N (0.2500, 0.5356, 0.8934)  3 Pa 2.21-2.41
N (0.7500, 0.3372, 0.6025)  2 Pt 2.01
N (0.2500, 0.0541, 0.8696)  2 Pa 2.35, 3 Pm 2.55-2.58
N (0.7500, 0.9459, 0.1304)  2 Pa 2.35, 3 Pm 2.55-2.58
N (0.2500, 0.6628, 0.3975)  2 Pt 2.01
N (0.7500, 0.4644, 0.1066)  3 Pa 2.21-2.41
Pa (0.2500, 0.7421, 0.1669)  6 N 2.21-2.46
Pa (0.7500, 0.2579, 0.8331)  6 N 2.21-2.46
Pt (0.2500, 0.1707, 0.5211)  2 N 2.01
Pt (0.7500, 0.8293, 0.4789)  2 N 2.01
Pm (0.7500, 0.7433, 0.8147)  6 N 2.46-2.58
Pm (0.2500, 0.2567, 0.1853)  6 N 2.46-2.58

Compound: LiMnTe3
Source: Alexandria
Functional: PBE-GGA
Structure: optimized geometry

Values from the calculation:
ΔE to the lowest computed polymorph = 0.715 eV/atom
symmetry = Pm-3m, No. 221
energy relative to the elements, uncorrected = 0.95 eV per atom
final energy = -3.150 eV per atom

Unit cell a=4.9797 b=4.9797 c=4.9797 alpha=90.00 beta=90.00 gamma=90.00
Closest atoms and distances in Å follow each position.
Positions (direct):
Te (0.0000, 0.5000, 0.0000)  2 Li 2.49
Te (0.5000, 0.0000, 0.0000)  2 Li 2.49
Te (0.0000, 0.0000, 0.5000)  2 Li 2.49
Li (0.0000, 0.0000, 0.0000)  6 Te 2.49
Mn (0.5000, 0.5000, 0.5000)  12 Te 3.52

Compound: Re2TcAg
Source: Alexandria
Functional: PBE-GGA
Structure: optimized geometry

Values from the calculation:
energy of formation = 0.39 eV per atom
ΔE to the lowest computed polymorph = 0.138 eV/atom
symmetry = Pmm2, No. 25
final energy = -9.138 eV per atom

Unit cell a=3.9787 b=2.7737 c=6.2936 alpha=63.82 beta=90.00 gamma=90.00
Closest atoms and distances in Å follow each position.
Positions (direct):
Re (0.5000, 0.2521, 0.2496)  6 Re 2.72-2.77, 4 Tc 2.73, 2 Ag 2.82-2.83
Re (0.0000, 0.9689, 0.0293)  1 Tc 2.50, 6 Re 2.72-2.77
Tc (0.0000, 0.5277, 0.4724)  5 Re 2.50-2.73, 2 Tc 2.77
Ag (0.5000, 0.7513, 0.7487)  2 Ag 2.77, 6 Re 2.82-2.90, 4 Tc 2.88

Compound: La6Pm5Th2
Source: Alexandria
Functional: PBE-GGA
Structure: optimized geometry

Values from the calculation:
energy of formation = 0.11 eV per atom
symmetry = Pbam, No. 55
final energy = -5.128 eV per atom

Unit cell a=3.6651 b=11.7894 c=21.4559 alpha=90.00 beta=90.00 gamma=90.00
Closest atoms and distances in Å follow each position.
Positions (direct):
Pm (0.5000, 0.9407, 0.7932)  5 La 3.50-3.66, 4 Th 3.55-3.66, 3 Pm 3.67-3.85
Pm (0.5000, 0.4407, 0.7068)  5 La 3.50-3.66, 4 Th 3.55-3.66, 3 Pm 3.67-3.85
Pm (0.5000, 0.5593, 0.2932)  5 La 3.50-3.66, 4 Th 3.55-3.66, 3 Pm 3.67-3.85
Pm (0.5000, 0.0593, 0.2068)  5 La 3.50-3.66, 4 Th 3.55-3.66, 3 Pm 3.67-3.85
Pm (0.5000, 0.1841, 0.9128)  3 Pm 3.67-3.85, 6 La 3.67-3.82, 2 Th 3.68
Pm (0.5000, 0.8159, 0.0872)  3 Pm 3.67-3.85, 6 La 3.67-3.82, 2 Th 3.68
Pm (0.5000, 0.3159, 0.4128)  3 Pm 3.67-3.85, 6 La 3.67-3.82, 2 Th 3.68
Pm (0.5000, 0.6841, 0.5871)  3 Pm 3.67-3.85, 6 La 3.67-3.82, 2 Th 3.68
Pm (0.5000, 0.0000, 0.5000)  6 La 3.45-3.71, 2 Pm 3.67
Pm (0.5000, 0.5000, 0.0000)  6 La 3.45-3.71, 2 Pm 3.67
La (0.0000, 0.9316, 0.6456)  1 Th 3.42, 4 La 3.51-3.67, 6 Pm 3.66-3.71
La (0.0000, 0.0684, 0.3544)  1 Th 3.42, 4 La 3.51-3.67, 6 Pm 3.66-3.71
La (0.0000, 0.9134, 0.9403)  5 La 3.28-3.67, 2 Pm 3.66
La (0.0000, 0.5866, 0.4403)  5 La 3.28-3.67, 2 Pm 3.66
La (0.5000, 0.8171, 0.3745)  2 Pm 3.45-3.50, 2 Th 3.50, 6 La 3.51-3.67
La (0.5000, 0.3171, 0.1255)  2 Pm 3.45-3.50, 2 Th 3.50, 6 La 3.51-3.67
La (0.5000, 0.1829, 0.6255)  2 Pm 3.45-3.50, 2 Th 3.50, 6 La 3.51-3.67
La (0.0000, 0.5684, 0.1456)  1 Th 3.42, 4 La 3.51-3.67, 6 Pm 3.66-3.71
La (0.0000, 0.0866, 0.0597)  5 La 3.28-3.67, 2 Pm 3.66
La (0.0000, 0.4134, 0.5597)  5 La 3.28-3.67, 2 Pm 3.66
La (0.0000, 0.4316, 0.8544)  1 Th 3.42, 4 La 3.51-3.67, 6 Pm 3.66-3.71
La (0.5000, 0.6829, 0.8745)  2 Pm 3.45-3.50, 2 Th 3.50, 6 La 3.51-3.67
Th (0.0000, 0.8073, 0.2357)  3 La 3.42-3.50, 6 Pm 3.55-3.68, 2 Th 3.67
Th (0.0000, 0.1927, 0.7643)  3 La 3.42-3.50, 6 Pm 3.55-3.68, 2 Th 3.67
Th (0.0000, 0.6927, 0.7357)  3 La 3.42-3.50, 6 Pm 3.55-3.68, 2 Th 3.67
Th (0.0000, 0.3073, 0.2643)  3 La 3.42-3.50, 6 Pm 3.55-3.68, 2 Th 3.67

Compound: SnHgAsBr2
Source: Alexandria
Functional: PBE-GGA
Structure: optimized geometry

Values from the calculation:
ΔE to the lowest computed polymorph = 0.000 eV/atom
symmetry = P4/mmm, No. 123
energy relative to the elements, uncorrected = 0.04 eV per atom
final energy = -2.416 eV per atom

Unit cell a=5.6592 b=5.6592 c=5.6017 alpha=90.00 beta=90.00 gamma=90.00
Closest atoms and distances in Å follow each position.
Positions (direct):
Sn (0.0000, 0.0000, 0.0000)  2 As 2.80, 4 Br 2.83
As (0.0000, 0.0000, 0.5000)  2 Sn 2.80
Br (0.5000, 0.0000, 0.0000)  2 Sn 2.83
Br (0.0000, 0.5000, 0.0000)  2 Sn 2.83
Hg (0.5000, 0.5000, 0.5000)  8 Br 3.98, 4 As 4.00

Compound: Ce2TmCd2Hg2
Source: Alexandria
Functional: PBE-GGA
Structure: optimized geometry

Values from the calculation:
energy of formation = -0.17 eV per atom
symmetry = R-3m, No. 166
final energy = -2.851 eV per atom

Unit cell a=4.8581 b=4.8581 c=9.0508 alpha=74.43 beta=74.43 gamma=60.00
Closest atoms and distances in Å follow each position.
Positions (direct):
Hg (0.4003, 0.4003, 0.7991)  3 Cd 2.81
Hg (0.5997, 0.5997, 0.2009)  3 Cd 2.81
Cd (0.7310, 0.7310, 0.8070)  3 Hg 2.81
Cd (0.2690, 0.2690, 0.1930)  3 Hg 2.81
Tm (0.0000, 0.0000, 0.0000)  6 Cd 3.26, 6 Hg 3.29, 2 Ce 3.57
Ce (0.8618, 0.8618, 0.4145)  3 Ce 3.17, 3 Hg 3.35, 4 Cd 3.38-3.39
Ce (0.1382, 0.1382, 0.5855)  3 Ce 3.17, 3 Hg 3.35, 4 Cd 3.38-3.39